12
Lattice="5.313 0.000 0.000 0.000 7.479 0.000 0.000 -3.740 5.337" Properties=species:S:1:pos:R:3 comment="TmFeSi3Os (PBE, optimized geometry)" e_tot_ev_per_atom=-7.020 pbc="T T T"
Tm 3.985 0.000 2.566
Tm 1.328 3.740 2.771
Fe 1.328 0.000 0.459
Fe 3.985 3.740 4.878
Si 1.328 0.000 2.524
Si 0.000 1.790 0.000
Si 2.656 5.689 0.000
Si 2.656 1.790 0.000
Si 0.000 5.689 0.000
Si 3.985 3.740 2.813
Os 1.328 0.000 4.737
Os 3.985 3.740 0.600



4
Lattice="2.695 0.006 0.000 -1.114 2.454 0.000 0.000 0.000 8.741" Properties=species:S:1:pos:R:3 comment="MgCrOs2 (PBE, optimized geometry)" ef_mev_per_atom=286 pbc="T T T"
Cr 0.791 1.230 2.185
Mg 0.791 1.230 6.555
Os 0.000 0.000 0.145
Os 0.000 0.000 4.225



4
Lattice="-0.061 2.676 2.698 1.969 -2.286 2.312 3.078 1.359 -1.278" Properties=species:S:1:pos:R:3 comment="Be2InCu (PBE, optimized geometry)" ef_mev_per_atom=349 pbc="T T T"
Be 0.000 0.000 0.000
Be 0.954 0.195 2.505
Cu 1.508 2.018 0.710
In 2.523 -0.464 0.517